Record 1
The following is a GGA-PBE calculation of crystalline Hf3Ta5H12 at its relaxed geometry, from Alexandria.

The structure in CIF format:
```
data_Hf3Ta5H12
_symmetry_space_group_name_H-M 'I a -3 d'
_symmetry_Int_Tables_number 230
_symmetry_space_group_name_Hall '-I 4bd 2c 3'
_cell_length_a 11.394
_cell_length_b 11.394
_cell_length_c 11.394
_cell_angle_alpha 90.00
_cell_angle_beta 90.00
_cell_angle_gamma 90.00
loop_
_atom_site_label
_atom_site_type_symbol
_atom_site_fract_x
_atom_site_fract_y
_atom_site_fract_z
_atom_site_occupancy
Hf1 Hf 0.000 0.250 0.125 1
Ta1 Ta 0.000 0.000 0.000 1
Ta2 Ta 0.000 0.250 0.375 1
H1 H 0.008 0.071 0.651 1
```

Summary:
Total moment = 0.0 μB/f.u.
Final energy = -6.738 eV per atom
Calculated density = 13.0 g cm⁻³
Crystal system = cubic

=====

Record 2
The following is a GGA-PBE calculation of crystalline TmGaCo2Ge2 at its relaxed geometry, from Alexandria.

The structure in CIF format:
```
data_TmGaCo2Ge2
_symmetry_space_group_name_H-M 'P 4/m m m'
_symmetry_Int_Tables_number 123
_symmetry_space_group_name_Hall '-P 4 2'
_cell_length_a 4.331
_cell_length_b 4.331
_cell_length_c 5.403
_cell_angle_alpha 90.00
_cell_angle_beta 90.00
_cell_angle_gamma 90.00
loop_
_atom_site_label
_atom_site_type_symbol
_atom_site_fract_x
_atom_site_fract_y
_atom_site_fract_z
_atom_site_occupancy
Tm1 Tm 0.000 0.000 0.000 1
Ga1 Ga 0.000 0.000 0.500 1
Co1 Co 0.000 0.500 0.500 1
Ge1 Ge 0.500 0.500 0.243 1
```

Summary:
Total moment = 0.0 μB/f.u.
Final energy = -5.237 eV per atom
Calculated density = 8.2 g cm⁻³
Energy of formation = -7.6 kJ/mol of atoms
Crystal system = tetragonal